[1]
Zr2Hg: relaxed, GGA-PBEsol.

The structure in POSCAR format:
```
Zr2Hg
1.0
5.6457 0.0000 0.0000
2.8228 4.8893 0.0000
2.8228 1.6298 4.6097
Hg Zr
2 4
direct
0.2500 0.2500 0.2500
0.0000 0.0000 0.0000
0.6250 0.1250 0.6250
0.1250 0.6250 0.6250
0.6250 0.6250 0.1250
0.6250 0.6250 0.6250
```

Summary:
total magnetic moment: 0.000 μB per cell
DOS at the Fermi energy: 2.1 states/eV/f.u.
ρ: 10.0 Mg/m³
raw total energy: -18.2 eV per formula unit
E_form: 177 meV per atom



[2]
Zr5Hg: relaxed, GGA-PBEsol.

The structure in POSCAR format:
```
Zr5Hg
1.0
-1.7478 -2.5101 -4.1457
5.0447 -1.4768 -1.2327
-3.0314 -3.1394 3.1788
Zr Hg
5 1
direct
0.0000 0.0000 0.6770
0.5000 0.3333 0.6667
0.0000 0.3230 0.3230
0.0000 0.6770 0.0000
0.5000 0.6667 0.3333
0.5000 0.0000 0.0000
```

Summary:
total magnetic moment: 0.000 μB per cell
DOS at the Fermi energy: 5.3 states/eV/f.u.
ρ: 8.4 Mg/m³
raw total energy: -46.4 eV per formula unit
E_form: -61 meV per atom